Record 1
A geometry-optimized Ce5PtPb2 structure, computed with PBE-GGA.

Properties
Its space-group type is Pbam. Its magnetization is 10.38 μB/cell. The calculation puts the energy at -5.8793 eV/atom. Its energy above the most stable polymorph in this dataset is 0.000 eV/atom. The calculation puts the formation energy at -488 meV per atom. The value obtained for the calculated volume is 476 Å³ per cell.

a = 7.963 Å, b = 12.510 Å, c = 4.779 Å
α = 90.00°, β = 90.00°, γ = 90.00°
Fractional coordinates of all 16 atoms:
Ce 0.000 0.000 0.000
Ce 0.137 0.292 0.000
Ce 0.197 0.562 0.500
Ce 0.303 0.062 0.500
Ce 0.363 0.792 0.000
Ce 0.500 0.500 0.000
Ce 0.637 0.208 0.000
Ce 0.697 0.938 0.500
Ce 0.803 0.438 0.500
Ce 0.863 0.708 0.000
Pt 0.000 0.500 0.000
Pt 0.500 0.000 0.000
Pb 0.084 0.826 0.500
Pb 0.416 0.326 0.500
Pb 0.584 0.674 0.500
Pb 0.916 0.174 0.500


Record 2
A geometry-optimized Ce2Pt9Pb structure, computed with PBE-GGA.

Properties
Its space-group type is P4/mmm. Its magnetization is 0.38 μB/cell. The calculation puts the energy at -6.5208 eV/atom. The calculation puts the formation energy at -692 meV per atom. The value obtained for the calculated volume is 216 Å³ per cell.

a = 4.157 Å, b = 4.157 Å, c = 12.502 Å
α = 90.00°, β = 90.00°, γ = 90.00°
Fractional coordinates of all 12 atoms:
Ce 0.000 0.000 0.167
Ce 0.000 0.000 0.833
Pt 0.000 0.500 0.000
Pt 0.000 0.500 0.330
Pt 0.000 0.500 0.670
Pt 0.500 0.000 0.000
Pt 0.500 0.000 0.330
Pt 0.500 0.000 0.670
Pt 0.500 0.500 0.168
Pt 0.500 0.500 0.500
Pt 0.500 0.500 0.832
Pb 0.000 0.000 0.500


Record 3
A geometry-optimized Ce2PtPb structure, computed with PBE-GGA.

Properties
Its space-group type is R-3m. Its magnetization is 1.50 μB/cell. The calculation puts the energy at -6.0352 eV/atom. The calculation puts the formation energy at -631 meV per atom. The value obtained for the calculated volume is 117 Å³ per cell.

a = 8.567 Å, b = 8.567 Å, c = 8.567 Å
α = 27.35°, β = 27.35°, γ = 27.35°
Fractional coordinates of all 4 atoms:
Ce 0.235 0.235 0.235
Ce 0.765 0.765 0.765
Pt 0.500 0.500 0.500
Pb 0.000 0.000 0.000


Record 4
A geometry-optimized Ce2PtPb structure, computed with PBE-GGA.

Properties
Its space-group type is P4/mmm. Its magnetization is 2.02 μB/cell. The calculation puts the energy at -5.9715 eV/atom. The calculation puts the formation energy at -567 meV per atom. The value obtained for the calculated volume is 100 Å³ per cell.

a = 4.790 Å, b = 4.790 Å, c = 4.370 Å
α = 90.00°, β = 90.00°, γ = 90.00°
Fractional coordinates of all 4 atoms:
Ce 0.000 0.500 0.000
Ce 0.500 0.000 0.000
Pt 0.000 0.000 0.500
Pb 0.500 0.500 0.500


Record 5
A geometry-optimized CePtPb2 structure, computed with PBE-GGA.

Properties
Its space-group type is R-3m. Its magnetization is 1.33 μB/cell. The calculation puts the energy at -4.7740 eV/atom. The calculation puts the formation energy at 74 meV per atom. The value obtained for the calculated volume is 112 Å³ per cell.

a = 10.777 Å, b = 10.777 Å, c = 10.777 Å
α = 18.68°, β = 18.68°, γ = 18.68°
Fractional coordinates of all 4 atoms:
Ce 0.000 0.000 0.000
Pt 0.500 0.500 0.500
Pb 0.103 0.103 0.103
Pb 0.897 0.897 0.897


Record 6
A geometry-optimized Ce2PtPb structure, computed with PBE-GGA.

Properties
Its space-group type is P4/mmm. Its magnetization is 1.87 μB/cell. The calculation puts the energy at -6.1064 eV/atom. The calculation puts the formation energy at -702 meV per atom. The value obtained for the calculated volume is 104 Å³ per cell.

a = 3.472 Å, b = 3.472 Å, c = 8.600 Å
α = 90.00°, β = 90.00°, γ = 90.00°
Fractional coordinates of all 4 atoms:
Ce 0.000 0.000 0.213
Ce 0.000 0.000 0.787
Pt 0.500 0.500 0.000
Pb 0.500 0.500 0.500


Record 7
A geometry-optimized Ce11Pt4Pb9 structure, computed with PBE-GGA.

Properties
Its space-group type is Cmmm. Its magnetization is 7.52 μB/cell. The calculation puts the energy at -5.7470 eV/atom. The calculation puts the formation energy at -630 meV per atom. The value obtained for the calculated volume is 656 Å³ per cell.

a = 13.112 Å, b = 13.112 Å, c = 4.128 Å
α = 90.00°, β = 90.00°, γ = 112.46°
Fractional coordinates of all 24 atoms:
Ce 0.000 0.000 0.000
Ce 0.076 0.415 0.000
Ce 0.160 0.840 0.000
Ce 0.309 0.309 0.000
Ce 0.371 0.629 0.000
Ce 0.415 0.076 0.000
Ce 0.585 0.924 0.000
Ce 0.629 0.371 0.000
Ce 0.691 0.691 0.000
Ce 0.840 0.160 0.000
Ce 0.924 0.585 0.000
Pt 0.248 0.450 0.500
Pt 0.450 0.248 0.500
Pt 0.550 0.752 0.500
Pt 0.752 0.550 0.500
Pb 0.067 0.215 0.500
Pb 0.148 0.631 0.500
Pb 0.215 0.067 0.500
Pb 0.369 0.852 0.500
Pb 0.500 0.500 0.500
Pb 0.631 0.148 0.500
Pb 0.785 0.933 0.500
Pb 0.852 0.369 0.500
Pb 0.933 0.785 0.500


Record 8
A geometry-optimized Ce8Pt2Pb structure, computed with PBE-GGA.

Properties
Its space-group type is C2/m. Its magnetization is 4.70 μB/cell. The calculation puts the energy at -6.1629 eV/atom. The calculation puts the formation energy at -412 meV per atom. The value obtained for the calculated volume is 301 Å³ per cell.

a = 7.965 Å, b = 7.965 Å, c = 5.487 Å
α = 97.56°, β = 97.56°, γ = 116.64°
Fractional coordinates of all 11 atoms:
Ce 0.086 0.086 0.820
Ce 0.213 0.423 0.434
Ce 0.247 0.753 0.000
Ce 0.423 0.213 0.434
Ce 0.577 0.787 0.566
Ce 0.753 0.247 0.000
Ce 0.787 0.577 0.566
Ce 0.914 0.914 0.180
Pt 0.194 0.806 0.500
Pt 0.806 0.194 0.500
Pb 0.500 0.500 0.000


Record 9
A geometry-optimized Ce2PtPb structure, computed with PBE-GGA.

Properties
Its space-group type is R3m. Its magnetization is 1.81 μB/cell. The calculation puts the energy at -5.9985 eV/atom. The calculation puts the formation energy at -594 meV per atom. The value obtained for the calculated volume is 118 Å³ per cell.

a = 8.987 Å, b = 8.987 Å, c = 8.987 Å
α = 25.40°, β = 25.40°, γ = 25.40°
Fractional coordinates of all 4 atoms:
Ce 0.000 0.000 0.000
Ce 0.199 0.199 0.199
Pt 0.599 0.599 0.599
Pb 0.766 0.766 0.766


Record 10
A geometry-optimized Ce4PtPb2 structure, computed with PBE-GGA.

Properties
Its space-group type is P2_1/m. Its magnetization is 7.05 μB/cell. The calculation puts the energy at -5.7846 eV/atom. The calculation puts the formation energy at -471 meV per atom. The value obtained for the calculated volume is 406 Å³ per cell.

a = 6.372 Å, b = 6.531 Å, c = 9.905 Å
α = 90.00°, β = 100.30°, γ = 90.00°
Fractional coordinates of all 14 atoms:
Ce 0.175 0.250 0.106
Ce 0.260 0.539 0.730
Ce 0.260 0.961 0.730
Ce 0.309 0.750 0.393
Ce 0.691 0.250 0.607
Ce 0.740 0.039 0.270
Ce 0.740 0.461 0.270
Ce 0.825 0.750 0.894
Pt 0.008 0.750 0.164
Pt 0.992 0.250 0.836
Pb 0.193 0.250 0.442
Pb 0.386 0.750 0.045
Pb 0.614 0.250 0.955
Pb 0.807 0.750 0.558


Record 11
A geometry-optimized Ce7Pt2Pb2 structure, computed with PBE-GGA.

Properties
Its space-group type is Cmmm. Its magnetization is 6.10 μB/cell. The calculation puts the energy at -5.9476 eV/atom. The calculation puts the formation energy at -399 meV per atom. The value obtained for the calculated volume is 329 Å³ per cell.

a = 7.176 Å, b = 7.176 Å, c = 6.727 Å
α = 90.00°, β = 90.00°, γ = 108.27°
Fractional coordinates of all 11 atoms:
Ce 0.000 0.000 0.000
Ce 0.000 0.500 0.285
Ce 0.000 0.500 0.715
Ce 0.500 0.000 0.285
Ce 0.500 0.000 0.715
Ce 0.500 0.500 0.208
Ce 0.500 0.500 0.792
Pt 0.266 0.734 0.000
Pt 0.734 0.266 0.000
Pb 0.182 0.182 0.500
Pb 0.818 0.818 0.500


Record 12
A geometry-optimized CePt9Pb2 structure, computed with PBE-GGA.

Properties
Its space-group type is R-3m. Its magnetization is 0.58 μB/cell. The calculation puts the energy at -6.0801 eV/atom. The calculation puts the formation energy at -437 meV per atom. The value obtained for the calculated volume is 229 Å³ per cell.

a = 9.460 Å, b = 9.460 Å, c = 9.460 Å
α = 33.47°, β = 33.47°, γ = 33.47°
Fractional coordinates of all 12 atoms:
Ce 0.000 0.000 0.000
Pt 0.081 0.585 0.585
Pt 0.333 0.333 0.333
Pt 0.415 0.415 0.919
Pt 0.415 0.919 0.415
Pt 0.500 0.500 0.500
Pt 0.585 0.081 0.585
Pt 0.585 0.585 0.081
Pt 0.667 0.667 0.667
Pt 0.919 0.415 0.415
Pb 0.138 0.138 0.138
Pb 0.862 0.862 0.862